DFT (GGA-PBE) results for Mg2Tc after structural relaxation.

Unit cell a=6.714 b=6.714 c=2.694 alpha=90.00 beta=90.00 gamma=90.00
Positions (direct):
Mg1 0.238 0.238 0.000
Mg2 0.262 0.738 0.500
Mg3 0.738 0.262 0.500
Mg4 0.762 0.762 0.000
Tc1 0.000 0.000 0.500
Tc2 0.500 0.500 0.000

Results
Offset from the most stable computed form = 471 meV/atom

***

DFT (GGA-PBE) results for Ho3Mg3TlGa2 after structural relaxation.

Unit cell a=7.310 b=7.310 c=4.531 alpha=90.00 beta=90.00 gamma=120.00
Positions (direct):
Ho1 0.000 0.436 0.000
Ho2 0.436 0.000 0.000
Ho3 0.564 0.564 0.000
Mg1 0.000 0.749 0.500
Mg2 0.251 0.251 0.500
Mg3 0.749 0.000 0.500
Tl1 0.000 0.000 0.000
Ga1 0.333 0.667 0.500
Ga2 0.667 0.333 0.500

Results
DFT total energy = -3.410 eV per atom

***

DFT (GGA-PBE) results for LuMg2Re after structural relaxation.

Unit cell a=4.804 b=4.804 c=4.804 alpha=60.00 beta=60.00 gamma=60.00
Positions (direct):
Lu1 0.000 0.000 0.000
Mg1 0.250 0.250 0.250
Mg2 0.500 0.500 0.500
Re1 0.750 0.750 0.750

Results
DFT total energy = -4.716 eV per atom

***

DFT (GGA-PBE) results for NbSiIr after structural relaxation.

Unit cell a=4.489 b=4.489 c=5.264 alpha=90.00 beta=90.00 gamma=120.00
Positions (direct):
Nb1 0.333 0.667 0.250
Nb2 0.667 0.333 0.750
Si1 0.333 0.667 0.750
Si2 0.667 0.333 0.250
Ir1 0.000 0.000 0.000
Ir2 0.000 0.000 0.500

Results
DFT total energy = -8.278 eV per atom

***

DFT (GGA-PBE) results for LaHfB after structural relaxation.

Unit cell a=4.455 b=4.455 c=4.455 alpha=60.00 beta=60.00 gamma=60.00
Positions (direct):
La1 0.000 0.000 0.000
Hf1 0.500 0.500 0.500
B1 0.750 0.750 0.750

Results
Offset from the most stable computed form = 0 meV/atom

***

DFT (GGA-PBE) results for SrSmNi2As4 after structural relaxation.

Unit cell a=4.511 b=8.385 c=8.385 alpha=29.76 beta=90.00 gamma=90.00
Positions (direct):
Sr1 0.000 0.000 0.000
Sm1 0.500 0.786 0.786
Ni1 0.000 0.212 0.212
Ni2 0.500 0.582 0.582
As1 0.000 0.353 0.353
As2 0.000 0.645 0.645
As3 0.500 0.148 0.148
As4 0.500 0.432 0.432

Results
DFT total energy = -5.299 eV per atom

***

DFT (GGA-PBE) results for ZnReAsO after structural relaxation.

Unit cell a=3.370 b=3.370 c=9.919 alpha=90.00 beta=90.00 gamma=90.00
Positions (direct):
Zn1 0.250 0.750 0.000
Zn2 0.750 0.250 0.000
Re1 0.250 0.250 0.371
Re2 0.750 0.750 0.629
As1 0.250 0.250 0.760
As2 0.750 0.750 0.240
O1 0.250 0.750 0.500
O2 0.750 0.250 0.500

Results
Offset from the most stable computed form = 432 meV/atom

***

DFT (GGA-PBE) results for SmInAu after structural relaxation.

Unit cell a=7.454 b=7.454 c=4.536 alpha=90.00 beta=90.00 gamma=120.00
Positions (direct):
Sm1 0.000 0.574 0.000
Sm2 0.426 0.426 0.000
Sm3 0.574 0.000 0.000
In1 0.000 0.000 0.000
In2 0.333 0.667 0.500
In3 0.667 0.333 0.500
Au1 0.000 0.248 0.500
Au2 0.248 0.000 0.500
Au3 0.752 0.752 0.500

Results
DFT total energy = -4.142 eV per atom

***

DFT (GGA-PBE) results for BOsPb after structural relaxation.

Unit cell a=4.065 b=4.065 c=4.065 alpha=60.00 beta=60.00 gamma=60.00
Positions (direct):
B1 0.000 0.000 0.000
Os1 0.750 0.750 0.750
Pb1 0.250 0.250 0.250

Results
Offset from the most stable computed form = 0 meV/atom

***

DFT (GGA-PBE) results for LaNdFe2 after structural relaxation.

Unit cell a=3.908 b=5.900 c=5.900 alpha=40.67 beta=90.00 gamma=90.00
Positions (direct):
La1 0.000 0.000 0.000
Nd1 0.500 0.714 0.714
Fe1 0.000 0.300 0.300
Fe2 0.500 0.411 0.411

Results
Energy of formation from the pure elements = 0.13 eV per atom

***

DFT (GGA-PBE) results for BeZnBi after structural relaxation.

Unit cell a=4.604 b=4.604 c=4.604 alpha=60.00 beta=60.00 gamma=60.00
Positions (direct):
Be1 0.000 0.000 0.000
Zn1 0.500 0.500 0.500
Bi1 0.250 0.250 0.250

Results
DFT total energy = -2.375 eV per atom

***

DFT (GGA-PBE) results for Zr2CdIn2 after structural relaxation.

Unit cell a=7.619 b=7.619 c=7.619 alpha=148.17 beta=148.17 gamma=45.64
Positions (direct):
Zr1 0.090 0.090 0.000
Zr2 0.910 0.910 0.000
Cd1 0.500 0.500 0.000
In1 0.250 0.750 0.500
In2 0.750 0.250 0.500

Results
Offset from the most stable computed form = 0 meV/atom

***

DFT (GGA-PBE) results for HfCoCuBi after structural relaxation.

Unit cell a=4.645 b=4.645 c=4.645 alpha=60.00 beta=60.00 gamma=60.00
Positions (direct):
Hf1 0.000 0.000 0.000
Co1 0.750 0.750 0.750
Cu1 0.500 0.500 0.500
Bi1 0.250 0.250 0.250

Results
Offset from the most stable computed form = 265 meV/atom

***

DFT (GGA-PBE) results for PrCuSn2Au after structural relaxation.

Unit cell a=4.629 b=4.629 c=10.721 alpha=90.00 beta=90.00 gamma=90.00
Positions (direct):
Pr1 0.250 0.250 0.248
Pr2 0.750 0.750 0.752
Cu1 0.250 0.250 0.623
Cu2 0.750 0.750 0.377
Sn1 0.250 0.250 0.858
Sn2 0.250 0.750 0.500
Sn3 0.750 0.250 0.500
Sn4 0.750 0.750 0.142
Au1 0.250 0.750 0.000
Au2 0.750 0.250 0.000

Results
DFT total energy = -4.450 eV per atom

***

DFT (GGA-PBE) results for LaNd2Zn2Si4Au2 after structural relaxation.

Unit cell a=12.962 b=12.962 c=12.962 alpha=161.24 beta=160.94 gamma=26.86
Positions (direct):
La1 0.000 0.000 0.000
Nd1 0.352 0.852 0.500
Nd2 0.648 0.148 0.500
Zn1 0.250 0.250 0.000
Zn2 0.750 0.750 0.000
Si1 0.194 0.694 0.500
Si2 0.452 0.452 0.000
Si3 0.548 0.548 0.000
Si4 0.806 0.306 0.500
Au1 0.096 0.596 0.500
Au2 0.904 0.404 0.500

Results
Offset from the most stable computed form = 0 meV/atom

***

DFT (GGA-PBE) results for Lu2Ge2O5 after structural relaxation.

Unit cell a=4.082 b=4.082 c=7.915 alpha=90.00 beta=90.00 gamma=90.00
Positions (direct):
Lu1 0.000 0.000 0.240
Lu2 0.000 0.000 0.760
Ge1 0.500 0.500 0.000
Ge2 0.500 0.500 0.500
O1 0.000 0.000 0.500
O2 0.000 0.500 0.173
O3 0.000 0.500 0.827
O4 0.500 0.000 0.173
O5 0.500 0.000 0.827

Results
Offset from the most stable computed form = 0 meV/atom

***

DFT (GGA-PBE) results for HfAgTe2 after structural relaxation.

Unit cell a=5.123 b=5.123 c=5.123 alpha=60.00 beta=60.00 gamma=60.00
Positions (direct):
Hf1 0.000 0.000 0.000
Ag1 0.750 0.750 0.750
Te1 0.250 0.250 0.250
Te2 0.500 0.500 0.500

Results
DFT total energy = -4.547 eV per atom

***

DFT (GGA-PBE) results for GdErMg2 after structural relaxation.

Unit cell a=6.549 b=6.549 c=5.366 alpha=90.00 beta=90.00 gamma=109.82
Positions (direct):
Gd1 0.131 0.869 0.750
Gd2 0.869 0.131 0.250
Er1 0.376 0.624 0.250
Er2 0.624 0.376 0.750
Mg1 0.127 0.371 0.750
Mg2 0.371 0.127 0.250
Mg3 0.629 0.873 0.750
Mg4 0.873 0.629 0.250

Results
Offset from the most stable computed form = 0 meV/atom

***

DFT (GGA-PBE) results for LuHf after structural relaxation.

Unit cell a=4.840 b=4.840 c=4.840 alpha=60.00 beta=60.00 gamma=60.00
Positions (direct):
Lu1 0.000 0.000 0.000
Hf1 0.250 0.250 0.250

Results
Energy of formation from the pure elements = 2.52 eV per atom
Offset from the most stable computed form = 2431 meV/atom

***

DFT (GGA-PBE) results for NbFe after structural relaxation.

Unit cell a=3.502 b=3.502 c=3.502 alpha=60.00 beta=60.00 gamma=60.00
Positions (direct):
Nb1 0.000 0.000 0.000
Fe1 0.500 0.500 0.500

Results
Energy of formation from the pure elements = 0.48 eV per atom